(1)
Here is a relaxed structure of YInNF2 from the Alexandria database. Energies are from PBE.

Structure (CIF):
```
data_YInNF2
_chemical_formula_sum 'Y1 In1 N1 F2'
_symmetry_space_group_name_H-M 'P 4/m m m'
_symmetry_Int_Tables_number 123
_symmetry_space_group_name_Hall '-P 4 2'
_cell_length_a 4.3720
_cell_length_b 4.3720
_cell_length_c 4.7092
_cell_angle_alpha 90.00
_cell_angle_beta 90.00
_cell_angle_gamma 90.00
loop_
_atom_site_label
_atom_site_type_symbol
_atom_site_fract_x
_atom_site_fract_y
_atom_site_fract_z
_atom_site_occupancy
Y1 Y 0.0000 0.0000 0.0000 1
In1 In 0.5000 0.5000 0.5000 1
N1 N 0.0000 0.0000 0.5000 1
F1 F 0.0000 0.5000 0.0000 1
```

Properties
Formation energy without anion corrections = -1822 meV/atom
Magnetization = 0.51 Bohr magnetons per cell
Offset from the most stable computed form = 0.0 meV per atom



(2)
Here is a relaxed structure of TeSN from the Alexandria database. Energies are from PBE.

Structure (CIF):
```
data_TeSN
_chemical_formula_sum 'Te2 S2 N2'
_symmetry_space_group_name_H-M 'P -1'
_symmetry_Int_Tables_number 2
_cell_length_a 4.3769
_cell_length_b 4.8195
_cell_length_c 7.6213
_cell_angle_alpha 78.51
_cell_angle_beta 74.31
_cell_angle_gamma 89.67
loop_
_symmetry_equiv_pos_as_xyz
'x,y,z'
'-x,-y,-z'
loop_
_atom_site_label
_atom_site_type_symbol
_atom_site_fract_x
_atom_site_fract_y
_atom_site_fract_z
_atom_site_occupancy
Te1 Te 0.1916 0.1697 0.1075 1
S1 S 0.2171 0.4159 0.7392 1
N1 N 0.0269 0.1835 0.6912 1
```

Properties
Formation energy without anion corrections = 571 meV/atom
Magnetization = 0.00 Bohr magnetons per cell
Offset from the most stable computed form = 416.0 meV per atom



(3)
Here is a relaxed structure of Tb3PrTh from the Alexandria database. Energies are from PBE.

Structure (CIF):
```
data_Tb3PrTh
_chemical_formula_sum 'Tb12 Pr4 Th4'
_symmetry_space_group_name_H-M 'P n m a'
_symmetry_Int_Tables_number 62
_cell_length_a 10.1679
_cell_length_b 3.6056
_cell_length_c 17.9155
_cell_angle_alpha 90.00
_cell_angle_beta 90.00
_cell_angle_gamma 90.00
loop_
_symmetry_equiv_pos_as_xyz
'x,y,z'
'-x,-y,-z'
'-x+1/2,-y,z+1/2'
'x+1/2,y,-z+1/2'
'x+1/2,-y+1/2,-z+1/2'
'-x+1/2,y+1/2,z+1/2'
'-x,y+1/2,-z'
'x,-y+1/2,z'
loop_
_atom_site_label
_atom_site_type_symbol
_atom_site_fract_x
_atom_site_fract_y
_atom_site_fract_z
_atom_site_occupancy
Tb1 Tb 0.1185 0.2500 0.1469 1
Tb2 Tb 0.1290 0.2500 0.7516 1
Tb3 Tb 0.1326 0.2500 0.5488 1
Pr1 Pr 0.1249 0.2500 0.3512 1
Th1 Th 0.1222 0.2500 0.9510 1
```

Properties
Formation enthalpy at 0 K = 0.02 eV/atom
Magnetization = 0.00 Bohr magnetons per cell
Offset from the most stable computed form = 0.0 meV per atom



(4)
Here is a relaxed structure of SrAlCl2 from the Alexandria database. Energies are from PBE.

Structure (CIF):
```
data_SrAlCl2
_chemical_formula_sum 'Sr2 Al2 Cl4'
_symmetry_space_group_name_H-M 'C 1 m 1'
_symmetry_Int_Tables_number 8
_cell_length_a 13.7270
_cell_length_b 3.8504
_cell_length_c 4.5644
_cell_angle_alpha 90.00
_cell_angle_beta 109.40
_cell_angle_gamma 90.00
loop_
_symmetry_equiv_pos_as_xyz
'x,y,z'
'x,-y,z'
'x+1/2,y+1/2,z'
'x+1/2,-y+1/2,z'
loop_
_atom_site_label
_atom_site_type_symbol
_atom_site_fract_x
_atom_site_fract_y
_atom_site_fract_z
_atom_site_occupancy
Sr1 Sr 0.0000 0.0000 0.0000 1
Al1 Al 0.2387 0.0000 0.7358 1
Cl1 Cl 0.1726 0.5000 0.1698 1
Cl2 Cl 0.4540 0.0000 0.4535 1
```

Properties
Formation energy without anion corrections = -1125 meV/atom
Magnetization = 1.90 Bohr magnetons per cell
Offset from the most stable computed form = 107.3 meV per atom



no.,Fermi-level density of states (states/eV/atom)
1,0.417
2,0.204
3,1.415
4,0.277